(1)
Computed, not measured: a relaxed TbErNiPd crystal at the GGA-PBE level of DFT.

The value obtained for the total energy is -45.7 eV for the cell shown. Its energy above the most stable polymorph in this dataset is 0 meV/atom. As for the energy of formation: -15.58 kcal/mol of atoms.

The space group is Amm2 (No. 38) and the conventional cell measures 4.3724, 3.7617 and 10.3115 Å, with angles of 90.00, 90.00 and 90.00 degrees. The asymmetric unit holds Tb at (0.0000, 0.0000, 0.0000), Er at (0.5000, 0.0000, 0.7213), Ni at (0.0000, 0.0000, 0.2775) and Pd at (0.5000, 0.0000, 0.4373).

---

(2)
Computed, not measured: a relaxed ErThNiPd crystal at the GGA-PBE level of DFT.

The value obtained for the total energy is -51.2 eV for the cell shown. Its energy above the most stable polymorph in this dataset is 0 meV/atom. As for the energy of formation: -15.31 kcal/mol of atoms.

The space group is Amm2 (No. 38) and the conventional cell measures 4.2487, 3.7389 and 11.1186 Å, with angles of 90.00, 90.00 and 90.00 degrees. The asymmetric unit holds Er at (0.0000, 0.0000, 0.0000), Th at (0.5000, 0.0000, 0.7239), Ni at (0.0000, 0.0000, 0.2633) and Pd at (0.5000, 0.0000, 0.4416).

---

(3)
Computed, not measured: a relaxed ErThNiPd crystal at the GGA-PBE level of DFT.

The value obtained for the total energy is -100.6 eV for the cell shown. Its energy above the most stable polymorph in this dataset is 116 meV/atom. As for the energy of formation: -12.63 kcal/mol of atoms.

The space group is F-43m (No. 216) and the conventional cell measures 7.0231, 7.0231 and 7.0231 Å, with angles of 90.00, 90.00 and 90.00 degrees. The asymmetric unit holds Er at (0.0000, 0.0000, 0.0000), Th at (0.0000, 0.0000, 0.5000), Ni at (0.2500, 0.2500, 0.7500) and Pd at (0.2500, 0.2500, 0.2500).